The following is a PBE calculation of crystalline TmMgInGa at its relaxed geometry, from Alexandria.

Geometry as POSCAR:
```
TmMgInGa
1.0
7.120 0.000 0.000
0.000 7.120 0.000
0.000 0.000 7.120
Tm Mg In Ga
4 4 4 4
direct
0.000 0.000 0.000 Tm
0.000 0.500 0.500 Tm
0.500 0.000 0.500 Tm
0.500 0.500 0.000 Tm
0.000 0.000 0.500 Mg
0.000 0.500 0.000 Mg
0.500 0.000 0.000 Mg
0.500 0.500 0.500 Mg
0.250 0.250 0.750 In
0.250 0.750 0.250 In
0.750 0.250 0.250 In
0.750 0.750 0.750 In
0.250 0.250 0.250 Ga
0.250 0.750 0.750 Ga
0.750 0.250 0.750 Ga
0.750 0.750 0.250 Ga
```

Results
- Crystal system: cubic
- ΔH_f (0 K): -292 meV per atom
- Spin magnetization: 0.000 μB/atom
- Relative energy among the computed polymorphs: 0.092 eV per atom